Entry 1:
This record from the Alexandria database describes Tb4Pr3Sm2 after structural relaxation. The functional is PBE.

Unit cell a=11.1116 b=5.1175 c=11.2771 alpha=90.00 beta=101.73 gamma=90.00
Last column: nearest neighbours and their distance in Å.
Space group C2/m (No. 12)
Inequivalent atoms, fractional coordinates:
Tb 0.1469 0.0000 0.2788  4 Pr 3.23-3.41, 3 Sm 3.29-3.50, 2 Tb 3.45
Tb 0.2238 0.5000 0.1035  4 Tb 3.45-3.59, 6 Pr 3.50-3.79, 1 Sm 3.60
Pr 0.0000 0.0000 0.0000  8 Tb 3.23-3.59
Pr 0.0529 0.5000 0.7473  5 Tb 3.36-3.72, 2 Sm 3.60
Sm 0.1657 0.0000 0.5734  4 Tb 3.29-3.60, 2 Pr 3.60

Output
electronic total energy = -4.51 eV per atom
size of the total moment = 0.00 μB/cell
formation enthalpy at 0 K = 194 meV/atom

***

Entry 2:
This record from the Alexandria database describes TiAlAg2Rh after structural relaxation. The functional is PBE.

Unit cell a=5.0554 b=5.0554 c=4.3949 alpha=90.00 beta=90.00 gamma=90.00
Last column: nearest neighbours and their distance in Å.
Space group P4/mmm (No. 123)
Inequivalent atoms, fractional coordinates:
Ti 0.0000 0.0000 0.0000  2 Rh 2.20
Al 0.5000 0.5000 0.5000  8 Ag 3.35, 4 Rh 3.57
Ag 0.0000 0.5000 0.0000  2 Ti 2.53
Rh 0.0000 0.0000 0.5000  2 Ti 2.20

Output
electronic total energy = -4.06 eV per atom
size of the total moment = 0.43 μB/cell
formation enthalpy at 0 K = 883 meV/atom

***

Entry 3:
This record from the Alexandria database describes YGa2Cu after structural relaxation. The functional is PBE.

Unit cell a=6.6605 b=6.6605 c=6.6605 alpha=90.00 beta=90.00 gamma=90.00
Last column: nearest neighbours and their distance in Å.
Space group Fm-3m (No. 225)
Inequivalent atoms, fractional coordinates:
Y 0.0000 0.0000 0.0000  8 Ga 2.88
Ga 0.2500 0.2500 0.2500  4 Cu 2.88, 4 Y 2.88
Cu 0.0000 0.0000 0.5000  8 Ga 2.88

Output
electronic total energy = -4.43 eV per atom
size of the total moment = 0.00 μB/cell
formation enthalpy at 0 K = -279 meV/atom

***

Copy entry 3 word for word.
This record from the Alexandria database describes YGa2Cu after structural relaxation. The functional is PBE.

Unit cell a=6.6605 b=6.6605 c=6.6605 alpha=90.00 beta=90.00 gamma=90.00
Last column: nearest neighbours and their distance in Å.
Space group Fm-3m (No. 225)
Inequivalent atoms, fractional coordinates:
Y 0.0000 0.0000 0.0000  8 Ga 2.88
Ga 0.2500 0.2500 0.2500  4 Cu 2.88, 4 Y 2.88
Cu 0.0000 0.0000 0.5000  8 Ga 2.88

Output
electronic total energy = -4.43 eV per atom
size of the total moment = 0.00 μB/cell
formation enthalpy at 0 K = -279 meV/atom